Here is a geometry-optimized Pr8Sm5Er structure from the Alexandria database. Energies are from PBE-GGA.

Lattice parameters (Å, degrees): 8.675 8.675 8.675 110.71 110.71 107.02
Sites, in units of the cell vectors:
Pr (0.162, 0.429, 0.098)
Pr (0.331, 0.063, 0.902)
Pr (0.422, 0.162, 0.396)
Pr (0.571, 0.669, 0.732)
Pr (0.766, 0.025, 0.604)
Pr (0.838, 0.234, 0.260)
Pr (0.937, 0.838, 0.268)
Pr (0.975, 0.578, 0.740)
Sm (0.000, 0.000, 0.000)
Sm (0.218, 0.319, 0.688)
Sm (0.470, 0.782, 0.101)
Sm (0.631, 0.530, 0.312)
Sm (0.681, 0.369, 0.899)
Er (0.250, 0.750, 0.500)

Results
E in eV/atom: -4.501
ΔE_f in eV per atom: 0.24
Size of the total moment in Bohr magnetons per cell: 0.00